4
Lattice="1.9914 1.1497 7.6843 -1.9914 1.1497 7.6843 0.0000 -2.2994 7.6843" Properties=species:S:1:pos:R:3 comment="CuTe2Os, relaxed, DFT PBE" m_tot_mub_per_fu=0.0 volume_a3_per_cell=105.6 raw_formation_energy_kcal_per_mol_atoms=7.2 pbc="T T T"
Cu 0.0000 0.0000 0.0000
Te 0.0000 0.0000 2.4782
Te 0.0000 0.0000 20.5747
Os 0.0000 0.0000 11.5264

***

4
Lattice="1.5243 0.8801 8.1488 -1.5243 0.8801 8.1488 0.0000 -1.7601 8.1488" Properties=species:S:1:pos:R:3 comment="Cu2TeOs, relaxed, DFT PBE" m_tot_mub_per_fu=0.0 volume_a3_per_cell=65.6 raw_formation_energy_kcal_per_mol_atoms=14.5 pbc="T T T"
Cu 0.0000 0.0000 0.0000
Cu 0.0000 0.0000 6.3779
Te 0.0000 0.0000 18.6607
Os 0.0000 0.0000 12.5532

***

4
Lattice="2.8712 0.0000 0.0000 0.0000 4.3846 0.0000 -1.3061 0.0000 5.4201" Properties=species:S:1:pos:R:3 comment="CuTeOs2, relaxed, DFT PBE" m_tot_mub_per_fu=0.0 volume_a3_per_cell=68.2 raw_formation_energy_kcal_per_mol_atoms=18.1 pbc="T T T"
Cu 0.0000 0.0000 0.0000
Te 0.7825 0.0000 2.7101
Os 0.7820 2.1923 1.0700
Os 0.7830 2.1923 4.3501

***

4
Lattice="2.8923 0.0000 0.0000 0.0000 2.8923 0.0000 0.0000 0.0000 8.1683" Properties=species:S:1:pos:R:3 comment="CuTeOs2, relaxed, DFT PBE" m_tot_mub_per_fu=0.0 volume_a3_per_cell=68.3 raw_formation_energy_kcal_per_mol_atoms=13.6 pbc="T T T"
Cu 0.0000 0.0000 0.0000
Te 1.4462 1.4462 5.6405
Os 0.0000 0.0000 3.3943
Os 1.4462 1.4462 1.7566

***

4
Lattice="3.1069 -3.6498 0.0000 3.1069 3.6498 0.0000 0.0000 0.0000 3.3427" Properties=species:S:1:pos:R:3 comment="CuTe2Os, relaxed, DFT PBE" m_tot_mub_per_fu=0.0 volume_a3_per_cell=75.8 raw_formation_energy_kcal_per_mol_atoms=16.2 pbc="T T T"
Cu 0.0000 0.0000 0.0000
Te 1.5535 1.8249 1.6713
Te 1.5535 -1.8249 1.6713
Os 3.1069 0.0000 0.0000

***

4
Lattice="1.6264 0.9390 9.7775 -1.6264 0.9390 9.7775 0.0000 -1.8780 9.7775" Properties=species:S:1:pos:R:3 comment="CuTe2Os, relaxed, DFT PBE" m_tot_mub_per_fu=0.0 volume_a3_per_cell=89.6 raw_formation_energy_kcal_per_mol_atoms=11.8 pbc="T T T"
Cu 0.0000 0.0000 0.0000
Te 0.0000 0.0000 7.7918
Te 0.0000 0.0000 13.5476
Os 0.0000 0.0000 21.4914

***

5
Lattice="4.6831 0.0000 0.0000 0.0000 4.6831 0.0000 0.0000 0.0000 4.6831" Properties=species:S:1:pos:R:3 comment="Cu3TeOs, relaxed, DFT PBE" m_tot_mub_per_fu=1.5 volume_a3_per_cell=102.7 raw_formation_energy_kcal_per_mol_atoms=28.9 pbc="T T T"
Cu 0.0000 0.0000 2.3416
Cu 0.0000 2.3416 0.0000
Cu 2.3416 0.0000 0.0000
Te 2.3416 2.3416 2.3416
Os 0.0000 0.0000 0.0000

***

4
Lattice="3.1506 0.0000 0.0000 0.0000 3.6204 0.0000 0.0000 0.0000 5.4980" Properties=species:S:1:pos:R:3 comment="Cu2TeOs, relaxed, DFT PBE" m_tot_mub_per_fu=0.0 volume_a3_per_cell=62.7 raw_formation_energy_kcal_per_mol_atoms=10.1 pbc="T T T"
Cu 0.0000 0.0000 0.0000
Cu 1.5753 1.8102 1.0267
Te 1.5753 1.8102 3.7843
Os 0.0000 0.0000 2.5473